Entry 1:
# Sc2PaCo PBE optimized geometry
# - density of states at the Fermi level (states/eV/cell) = 14.56
# - energy relative to the elements (eV/atom) = 0.14
data_Sc2PaCo
_symmetry_space_group_name_H-M 'R -3 m'
_symmetry_Int_Tables_number 166
_symmetry_space_group_name_Hall '-R 3 2"'
_cell_length_a 3.0959
_cell_length_b 3.0959
_cell_length_c 29.5450
_cell_angle_alpha 90.00
_cell_angle_beta 90.00
_cell_angle_gamma 120.00
loop_
_atom_site_label
_atom_site_fract_x
_atom_site_fract_y
_atom_site_fract_z
Sc1 0.0000 0.0000 0.1041
Pa1 0.0000 0.0000 0.0000
Co1 0.0000 0.0000 0.5000


Entry 2:
# MgIn3Rh PBE optimized geometry
# - density of states at the Fermi level (states/eV/cell) = 10.69
# - energy relative to the elements (eV/atom) = -0.17
data_MgIn3Rh
_symmetry_space_group_name_H-M 'C 1 2/m 1'
_symmetry_Int_Tables_number 12
_symmetry_space_group_name_Hall '-C 2y'
_cell_length_a 10.6015
_cell_length_b 8.3193
_cell_length_c 7.1200
_cell_angle_alpha 90.00
_cell_angle_beta 130.46
_cell_angle_gamma 90.00
loop_
_atom_site_label
_atom_site_fract_x
_atom_site_fract_y
_atom_site_fract_z
Mg1 0.0613 0.0000 0.2550
In1 0.0777 0.5000 0.3606
In2 0.2215 0.1849 0.7684
Rh1 0.2442 0.5000 0.8704


Number 1: total magnetic moment 0.539 μB/cell, raw total energy -7.174 eV/atom, offset from the most stable computed form 359.6 meV/atom. Number 2: total magnetic moment 0.000 μB/cell, raw total energy -3.602 eV/atom, offset from the most stable computed form 14.6 meV/atom.